A relaxed structure of LiGaTeBr2, computed with GGA-PBE.

Results
electronic total energy	-2.503	eV per atom
formation energy (no corrections)	-0.22	eV per atom
M_tot	0.0	μB per cell

```
LiGaTeBr2
1.0
-3.273 1.425 -3.383
3.153 -2.288 -4.014
-2.406 -4.256 0.536
Br Li Ga Te
2 1 1 1
Direct
0.500 0.000 0.000
0.000 0.000 0.500
0.000 0.000 0.000
0.000 0.500 0.000
0.500 0.500 0.500
```



A relaxed structure of Sc2TcPd, computed with GGA-PBE.

Results
ΔE to the lowest computed polymorph	0	meV/atom
electronic total energy	-7.635	eV per atom
energy of formation	-2.32	eV/f.u.
M_tot	0.0	μB per cell

```
Sc2TcPd
1.0
-2.310 2.321 0.376
-0.934 -0.423 -3.132
-4.231 -4.514 1.871
Tc Sc Pd
1 2 1
Direct
0.500 0.500 0.000
0.000 0.000 0.238
0.000 0.000 0.762
0.500 0.500 0.500
```



A relaxed structure of MgSbCl2, computed with GGA-PBE.

Results
ΔE to the lowest computed polymorph	818	meV/atom
electronic total energy	-2.657	eV per atom
formation energy (no corrections)	-0.30	eV per atom
M_tot	0.0	μB per cell

```
MgSbCl2
1.0
5.449 0.001 0.000
-1.816 5.137 0.000
0.000 0.000 3.352
Sb Cl Mg
1 2 1
Direct
0.000 0.500 0.500
0.500 0.500 0.000
0.000 0.000 0.000
0.500 0.000 0.500
```



Question: The highest electronic total energy belongs to which entry?
Answer: LiGaTeBr2



Question: Which formula does entry 3 have?
Answer: MgSbCl2



Question: Among the records above, which one has the highest electronic total energy?
Answer: LiGaTeBr2